Record 1
Entry from Alexandria via LeMat-Bulk: a relaxed ScSnRh crystal (GGA-PBE).

The structure belongs to space group P-6m2 (No. 187); the cell edges are 4.5797, 4.5797 and 3.1637 Å and the angles 90.00°, 90.00° and 120.00°. The inequivalent atoms are Sc at (0.0000, 0.0000, 0.0000), Sn at (0.3333, 0.6667, 0.5000) and Rh at (0.6667, 0.3333, 0.5000).

The value obtained for the theoretical density is 7.70 Mg/m³. Its formation energy is -2.186 eV/f.u.



Record 2
Entry from Alexandria via LeMat-Bulk: a relaxed Dy12GaRu6 crystal (GGA-PBE).

The structure belongs to space group Im-3 (No. 204); the cell edges are 9.7820, 9.7820 and 9.7820 Å and the angles 90.00°, 90.00° and 90.00°. The inequivalent atoms are Dy at (0.0000, 0.1943, 0.2938), Ga at (0.0000, 0.0000, 0.0000) and Ru at (0.0000, 0.3751, 0.5000).

The value obtained for the theoretical density is 9.32 Mg/m³. Its energy above the most stable polymorph in this dataset is 0.000 eV per atom. Its formation energy is -5.520 eV/f.u.



Record 3
Entry from Alexandria via LeMat-Bulk: a relaxed Nb3ReC crystal (GGA-PBE).

The structure belongs to space group Pm-3m (No. 221); the cell edges are 4.2855, 4.2855 and 4.2855 Å and the angles 90.00°, 90.00° and 90.00°. The inequivalent atoms are Nb at (0.0000, 0.0000, 0.5000), Re at (0.5000, 0.5000, 0.5000) and C at (0.0000, 0.0000, 0.0000).

The value obtained for the theoretical density is 10.06 Mg/m³. Its energy above the most stable polymorph in this dataset is 0.000 eV per atom. Its formation energy is 0.159 eV/f.u.



Record 4
Entry from Alexandria via LeMat-Bulk: a relaxed CsLiNdBr5 crystal (GGA-PBE).

The structure belongs to space group C2/c (No. 15); the cell edges are 9.8117, 13.2186 and 11.0097 Å and the angles 90.00°, 113.69° and 90.00°. The inequivalent atoms are Cs at (0.0000, 0.1566, 0.2500), Li at (0.0000, 0.1920, 0.7500), Nd at (0.0000, 0.5000, 0.0000), Br at (0.0000, 0.4282, 0.2500), Br at (0.0977, 0.2983, 0.6044) and Br at (0.1954, 0.0694, 0.9173).

Its raw formation energy is -171.9 kJ per mole of atoms. The value obtained for the theoretical density is 3.47 Mg/m³.



Among the records above, which one has the highest theoretical density? Nb3ReC